Density functional theory data (PBE-GGA) for BaSi2PS8 after structural relaxation.

Geometry as CIF:
```
data_BaSi2PS8
_chemical_formula_sum 'Ba1 Si2 P1 S8'
_space_group_name_H-M_alt 'P -3'
_space_group_IT_number 147
_cell_length_a 5.9075
_cell_length_b 5.9075
_cell_length_c 8.7376
_cell_angle_alpha 90.00
_cell_angle_beta 90.00
_cell_angle_gamma 120.00
loop_
_space_group_symop_operation_xyz
'x,y,z'
'-x,-y,-z'
'-y,x-y,z'
'y,-x+y,-z'
'-x+y,-x,z'
'x-y,x,-z'
loop_
_atom_site_label
_atom_site_fract_x
_atom_site_fract_y
_atom_site_fract_z
_atom_site_occupancy
Ba1 0.0000 0.0000 0.0000 1
Si1 0.3333 0.6667 0.7170 1
P1 0.0000 0.0000 0.5000 1
S1 0.0122 0.7013 0.3385 1
S2 0.3333 0.6667 0.9573 1
```

## Properties
The value obtained for the density of states at the Fermi level is 10.5 states/eV/f.u. As for the crystal system: trigonal. The value obtained for the raw formation energy is -0.52 eV per atom. The total moment is 0.0 μB per formula unit.

Density functional theory data (PBE-GGA) for ZnBiTeN2 after structural relaxation.

Geometry as CIF:
```
data_ZnBiTeN2
_chemical_formula_sum 'Zn1 Bi1 Te1 N2'
_space_group_name_H-M_alt 'P 4/m m m'
_space_group_IT_number 123
_space_group_name_Hall '-P 4 2'
_cell_length_a 4.317
_cell_length_b 4.317
_cell_length_c 6.526
_cell_angle_alpha 90.00
_cell_angle_beta 90.00
_cell_angle_gamma 90.00
loop_
_atom_site_label
_atom_site_fract_x
_atom_site_fract_y
_atom_site_fract_z
_atom_site_occupancy
Zn1 0.000 0.000 0.000 1
Bi1 0.500 0.500 0.500 1
Te1 0.500 0.500 0.000 1
N1 0.000 0.500 0.500 1
```

## Properties
The value obtained for the density of states at the Fermi level is 4.6 states/eV/f.u. The polymorph energy (0 for the lowest one) is 39 meV per atom. As for the crystal system: tetragonal. The value obtained for the raw formation energy is 1.47 eV per atom. The total moment is 2.0 μB per formula unit.

Density functional theory data (PBE-GGA) for Dy2Er2Zn after structural relaxation.

Geometry as CIF:
```
data_Dy2Er2Zn
_chemical_formula_sum 'Dy8 Er8 Zn4'
_space_group_name_H-M_alt 'I 41/a m d'
_space_group_IT_number 141
_cell_length_a 4.936
_cell_length_b 4.936
_cell_length_c 24.041
_cell_angle_alpha 90.00
_cell_angle_beta 90.00
_cell_angle_gamma 90.00
loop_
_space_group_symop_operation_xyz
'x,y,z'
'-x,-y,-z'
'-y+1/4,x+3/4,z+1/4'
'y+1/4,-x+3/4,-z+1/4'
'-x+1/2,-y,z+1/2'
'x+1/2,y,-z+1/2'
'y+1/4,-x+1/4,z+3/4'
'-y+1/4,x+1/4,-z+3/4'
'x,-y,-z'
'-x,y,z'
'-y+1/4,-x+1/4,-z+3/4'
'y+1/4,x+1/4,z+3/4'
'-x+1/2,y,-z+1/2'
'x+1/2,-y,z+1/2'
'y+1/4,x+3/4,-z+1/4'
'-y+1/4,-x+3/4,z+1/4'
'x+1/2,y+1/2,z+1/2'
'-x+1/2,-y+1/2,-z+1/2'
'-y+3/4,x+1/4,z+3/4'
'y+3/4,-x+1/4,-z+3/4'
'-x,-y+1/2,z'
'x,y+1/2,-z'
'y+3/4,-x+3/4,z+1/4'
'-y+3/4,x+3/4,-z+1/4'
'x+1/2,-y+1/2,-z+1/2'
'-x+1/2,y+1/2,z+1/2'
'-y+3/4,-x+3/4,-z+1/4'
'y+3/4,x+3/4,z+1/4'
'-x,y+1/2,-z'
'x,-y+1/2,z'
'y+3/4,x+1/4,-z+3/4'
'-y+3/4,-x+1/4,z+3/4'
loop_
_atom_site_label
_atom_site_fract_x
_atom_site_fract_y
_atom_site_fract_z
_atom_site_occupancy
Dy1 0.000 0.250 0.051 1
Er1 0.000 0.250 0.194 1
Zn1 0.000 0.250 0.875 1
```

## Properties
The value obtained for the density of states at the Fermi level is 8.5 states/eV/f.u. The polymorph energy (0 for the lowest one) is 136 meV per atom. As for the crystal system: tetragonal. The total moment is 0.0 μB per formula unit.